First-principles (SCAN) data for a PBEsol-optimized structure of Tl2TcAuCl, as listed in Alexandria.

Summary:
Density ... 9.06 g/cm3
ΔE_f (raw) ... 1.805 eV/f.u.

a = 4.783 Å, b = 5.321 Å, c = 5.321 Å
α = 90.00°, β = 90.00°, γ = 90.00°
Fractional positions:
Cl 0.500 0.500 0.500
Au 0.500 0.000 0.000
Tl 0.000 0.500 0.000
Tl 0.000 0.000 0.500
Tc 0.000 0.000 0.000

First-principles (SCAN) data for a PBEsol-optimized structure of TeAuCl2, as listed in Alexandria.

Summary:
Density ... 6.51 g/cm3
ΔE_f (raw) ... -0.932 eV/f.u.

a = 3.702 Å, b = 5.623 Å, c = 5.623 Å
α = 70.37°, β = 70.78°, γ = 70.78°
Fractional positions:
Cl 0.057 0.943 0.943
Te 0.469 0.531 0.531
Cl 0.224 0.276 0.276
Au 0.750 0.750 0.750